## Hf2FeBI (PBE-GGA)

Data for crystalline Hf2FeBI at its relaxed geometry. Values from VASP.

```
&SYSTEM
  ibrav = 0, nat = 5, ntyp = 4
/
ATOMIC_SPECIES
Hf 178.49 Hf.upf
Fe 55.84 Fe.upf
B 10.81 B.upf
I 126.90 I.upf
CELL_PARAMETERS angstrom
4.9079 0.0000 0.0000
0.0000 4.9079 0.0000
0.0000 0.0000 3.8298
ATOMIC_POSITIONS angstrom
Hf 0.0000 2.4539 0.0000
Hf 2.4539 0.0000 0.0000
Fe 0.0000 0.0000 0.0000
B 0.0000 0.0000 1.9149
I 2.4539 2.4539 1.9149
```

Total DFT energy (no corrections): -7.02 eV/atom
E_form (uncorrected): 28 kJ/mol of atoms
Space group: No. 123